No. 1
Material: RbLiY2Cl8
Method: DFT, PBE
State: relaxed

Cell: 6.7042 8.3602 6.8242 Å, 90.00 97.32 90.00°
Space group P2/m (No. 10)
Inequivalent atoms, fractional coordinates:
Rb 0.0000 0.0000 0.0000
Li 0.0000 0.5000 0.0000
Y 0.5000 0.2602 0.5000
Cl 0.2293 0.2913 0.1926
Cl 0.3043 0.5000 0.6598
Cl 0.3148 0.0000 0.6445

- electronic total energy (eV/f.u.) = -55.92
- calculated volume (Å³ per atom) = 31.61

=====

No. 2
Material: Rb2LiYbCl6
Method: DFT, PBE
State: relaxed

Cell: 10.4193 10.4193 10.4193 Å, 90.00 90.00 90.00°
Space group Fm-3m (No. 225)
Inequivalent atoms, fractional coordinates:
Rb 0.2500 0.2500 0.2500
Li 0.0000 0.0000 0.0000
Yb 0.0000 0.0000 0.5000
Cl 0.0000 0.0000 0.2467

- electronic total energy (eV/f.u.) = -35.56
- calculated volume (Å³ per atom) = 28.28

=====

No. 3
Material: RbLiZnCl4
Method: DFT, PBE
State: relaxed

Cell: 6.3427 7.1450 8.9323 Å, 90.00 105.50 90.00°
Space group P2_1/m (No. 11)
Inequivalent atoms, fractional coordinates:
Rb 0.2479 0.2500 0.4322
Li 0.3678 0.2500 0.9995
Zn 0.2664 0.7500 0.1816
Cl 0.0070 0.2500 0.0379
Cl 0.1774 0.7500 0.4116
Cl 0.4799 0.0093 0.8031

- electronic total energy (eV/f.u.) = -22.56
- calculated volume (Å³ per atom) = 27.86

=====

No. 4
Material: Rb2LiZnCl5
Method: DFT, PBE
State: relaxed

Cell: 3.9814 19.4574 13.5851 Å, 90.00 90.00 90.00°
Space group Cmc2_1 (No. 36)
Inequivalent atoms, fractional coordinates:
Rb 0.0000 0.1258 0.0000
Rb 0.0000 0.1387 0.6293
Li 0.0000 0.2231 0.3625
Zn 0.0000 0.4340 0.7460
Cl 0.0000 0.0429 0.3355
Cl 0.0000 0.2948 0.9626
Cl 0.0000 0.3225 0.6979
Cl 0.0000 0.3407 0.3179
Cl 0.0000 0.4982 0.6059

- electronic total energy (eV/f.u.) = -29.16
- calculated volume (Å³ per atom) = 29.23

=====

No. 5
Material: RbLiZn2Cl6
Method: DFT, PBE
State: relaxed

Cell: 13.2209 13.7511 7.2955 Å, 90.00 109.95 90.00°
Space group C2/c (No. 15)
Inequivalent atoms, fractional coordinates:
Rb 0.0000 0.1182 0.2500
Li 0.0000 0.2219 0.7500
Zn 0.1938 0.4240 0.1785
Cl 0.1080 0.2834 0.0552
Cl 0.1229 0.0912 0.7127
Cl 0.1450 0.4487 0.4587

- electronic total energy (eV/f.u.) = -30.86
- calculated volume (Å³ per atom) = 31.17

=====

No. 6
Material: Rb2LiZnCl6
Method: DFT, PBE
State: relaxed

Cell: 7.4101 7.4101 9.0939 Å, 90.00 90.00 90.00°
Space group I4/mmm (No. 139)
Inequivalent atoms, fractional coordinates:
Rb 0.0000 0.5000 0.2500
Li 0.0000 0.0000 0.0000
Zn 0.0000 0.0000 0.5000
Cl 0.0000 0.0000 0.2482
Cl 0.2417 0.2417 0.5000

- electronic total energy (eV/f.u.) = -29.94
- calculated volume (Å³ per atom) = 24.97

=====

No. 7
Material: RbLi2ZrCl8
Method: DFT, PBE
State: relaxed

Cell: 5.6711 6.3752 9.4012 Å, 87.42 73.33 89.87°
Space group P-1 (No. 2)
Inequivalent atoms, fractional coordinates:
Rb 0.0000 0.0000 0.0000
Li 0.4436 0.4820 0.7048
Zr 0.0000 0.0000 0.5000
Cl 0.1639 0.8023 0.6805
Cl 0.2537 0.3183 0.5105
Cl 0.2630 0.4954 0.9833
Cl 0.3262 0.8639 0.2841

- electronic total energy (eV/f.u.) = -47.53
- calculated volume (Å³ per atom) = 27.10

=====

No. 8
Material: RbLiZrCl6
Method: DFT, PBE
State: relaxed

Cell: 6.6951 6.6951 14.5905 Å, 90.00 90.00 120.00°
Space group P-31c (No. 163)
Inequivalent atoms, fractional coordinates:
Rb 0.0000 0.0000 0.0000
Li 0.3333 0.6667 0.2500
Zr 0.3333 0.6667 0.7500
Cl 0.0125 0.3831 0.6508

- electronic total energy (eV/f.u.) = -39.42
- calculated volume (Å³ per atom) = 31.47

=====

No. 9
Material: LiRe2Cl
Method: DFT, PBE
State: relaxed

Cell: 2.6948 4.9234 5.0991 Å, 90.00 90.00 90.00°
Space group Pmmm (No. 47)
Inequivalent atoms, fractional coordinates:
Li 0.0000 0.0000 0.0000
Re 0.5000 0.2345 0.5000
Cl 0.0000 0.5000 0.0000

- electronic total energy (eV/f.u.) = -24.87
- calculated volume (Å³ per atom) = 16.91

=====

No. 10
Material: LiReCl2
Method: DFT, PBE
State: relaxed

Cell: 3.1711 3.1711 24.7996 Å, 90.00 90.00 120.00°
Space group R3m (No. 160, hexagonal axes)
Inequivalent atoms, fractional coordinates:
Li 0.0000 0.0000 0.0000
Re 0.0000 0.0000 0.7737
Cl 0.0000 0.0000 0.2811
Cl 0.0000 0.0000 0.5004

- electronic total energy (eV/f.u.) = -18.20
- calculated volume (Å³ per atom) = 18.00

=====

No. 11
Material: LiRe2Cl
Method: DFT, PBE
State: relaxed

Cell: 3.0772 3.0772 6.5939 Å, 90.00 90.00 90.00°
Space group P4/mmm (No. 123)
Inequivalent atoms, fractional coordinates:
Li 0.0000 0.0000 0.0000
Re 0.5000 0.5000 0.1741
Cl 0.0000 0.0000 0.5000

- electronic total energy (eV/f.u.) = -24.96
- calculated volume (Å³ per atom) = 15.61

=====

No. 12
Material: LiReCl2
Method: DFT, PBE
State: relaxed

Cell: 3.1425 3.1425 22.8881 Å, 90.00 90.00 120.00°
Space group R-3m (No. 166, hexagonal axes)
Inequivalent atoms, fractional coordinates:
Li 0.0000 0.0000 0.0000
Re 0.0000 0.0000 0.5000
Cl 0.0000 0.0000 0.2624

- electronic total energy (eV/f.u.) = -17.50
- calculated volume (Å³ per atom) = 16.31

=====

No. 13
Material: LiReCl2
Method: DFT, PBE
State: relaxed

Cell: 7.0658 7.0658 7.0658 Å, 90.00 90.00 90.00°
Space group F-43m (No. 216)
Inequivalent atoms, fractional coordinates:
Li 0.0000 0.0000 0.0000
Re 0.2500 0.2500 0.7500
Cl 0.0000 0.0000 0.5000
Cl 0.2500 0.2500 0.2500

- electronic total energy (eV/f.u.) = -14.52
- calculated volume (Å³ per atom) = 22.05

=====

No. 14
Material: LiRe2Cl
Method: DFT, PBE
State: relaxed

Cell: 6.1879 6.1879 6.1879 Å, 90.00 90.00 90.00°
Space group F-43m (No. 216)
Inequivalent atoms, fractional coordinates:
Li 0.0000 0.0000 0.0000
Re 0.0000 0.0000 0.5000
Re 0.2500 0.2500 0.2500
Cl 0.2500 0.2500 0.7500

- electronic total energy (eV/f.u.) = -25.51
- calculated volume (Å³ per atom) = 14.81

=====

No. 15
Material: Li2ReCl
Method: DFT, PBE
State: relaxed

Cell: 6.4051 6.4051 6.4051 Å, 90.00 90.00 90.00°
Space group F-43m (No. 216)
Inequivalent atoms, fractional coordinates:
Li 0.0000 0.0000 0.0000
Li 0.2500 0.2500 0.2500
Re 0.2500 0.2500 0.7500
Cl 0.0000 0.0000 0.5000

- electronic total energy (eV/f.u.) = -14.50
- calculated volume (Å³ per atom) = 16.42

=====

No. 16
Material: Li2ReCl
Method: DFT, PBE
State: relaxed

Cell: 2.9002 2.9002 25.9415 Å, 90.00 90.00 120.00°
Space group R3m (No. 160, hexagonal axes)
Inequivalent atoms, fractional coordinates:
Li 0.0000 0.0000 0.0000
Li 0.0000 0.0000 0.2319
Re 0.0000 0.0000 0.7526
Cl 0.0000 0.0000 0.4991

- electronic total energy (eV/f.u.) = -17.21
- calculated volume (Å³ per atom) = 15.75

=====

No. 17
Material: LiRe2Cl
Method: DFT, PBE
State: relaxed

Cell: 3.4709 3.4709 7.9043 Å, 90.00 90.00 90.00°
Space group P4/mmm (No. 123)
Inequivalent atoms, fractional coordinates:
Li 0.0000 0.0000 0.0000
Re 0.0000 0.5000 0.5000
Cl 0.5000 0.5000 0.0000

- electronic total energy (eV/f.u.) = -26.42
- calculated volume (Å³ per atom) = 23.81

=====

No. 18
Material: LiReCl2
Method: DFT, PBE
State: relaxed

Cell: 3.0360 5.6788 7.4735 Å, 90.00 90.00 90.00°
Space group Cmmm (No. 65)
Inequivalent atoms, fractional coordinates:
Li 0.0000 0.0000 0.0000
Re 0.0000 0.0000 0.5000
Cl 0.0000 0.5000 0.2408

- electronic total energy (eV/f.u.) = -17.86
- calculated volume (Å³ per atom) = 16.11

=====

No. 19
Material: Li2ReCl
Method: DFT, PBE
State: relaxed

Cell: 2.9006 2.9006 24.2314 Å, 90.00 90.00 120.00°
Space group R-3m (No. 166, hexagonal axes)
Inequivalent atoms, fractional coordinates:
Li 0.0000 0.0000 0.2343
Re 0.0000 0.0000 0.0000
Cl 0.0000 0.0000 0.5000

- electronic total energy (eV/f.u.) = -19.06
- calculated volume (Å³ per atom) = 14.71

=====

No. 20
Material: Li2ReCl
Method: DFT, PBE
State: relaxed

Cell: 2.7758 4.6011 8.9576 Å, 90.00 90.00 90.00°
Space group Immm (No. 71)
Inequivalent atoms, fractional coordinates:
Li 0.0000 0.0000 0.2167
Re 0.0000 0.5000 0.0000
Cl 0.0000 0.5000 0.5000

- electronic total energy (eV/f.u.) = -16.58
- calculated volume (Å³ per atom) = 14.30

=====

Table of raw formation energy (kJ/mol of formula units), in record order: -2445; -1843; -1063; -1428; -1385; -1325; -1873; -1632; 365; -14; 357; 54; 341; 303; 350; 88; 216; 19; -91; 149